{"formula": "HoVO3", "functional": "GGA+U", "state": "relaxed", "cell": [[5.7305, 0.0000, 0.0000], [0.0000, 7.6304, 0.0000], [0.0000, 0.0000, 5.3098]], "species": ["Ho", "Ho", "Ho", "Ho", "V", "V", "V", "V", "O", "O", "O", "O", "O", "O", "O", "O", "O", "O", "O", "O"], "fractional_positions": [[0.0709, 0.2500, 0.0207], [0.4291, 0.7500, 0.5207], [0.5709, 0.2500, 0.4793], [0.9291, 0.7500, 0.9793], [0.0000, 0.0000, 0.5000], [0.0000, 0.5000, 0.5000], [0.5000, 0.0000, 0.0000], [0.5000, 0.5000, 0.0000], [0.0488, 0.7500, 0.3785], [0.1878, 0.5605, 0.8068], [0.1878, 0.9395, 0.8068], [0.3122, 0.0605, 0.3068], [0.3122, 0.4395, 0.3068], [0.4512, 0.2500, 0.8785], [0.5488, 0.7500, 0.1215], [0.6878, 0.5605, 0.6932], [0.6878, 0.9395, 0.6932], [0.8122, 0.0605, 0.1932], [0.8122, 0.4395, 0.1932], [0.9512, 0.2500, 0.6215]], "sg": "Pnma (62)", "e_tot_ev_per_atom": -8.2488}